CdCo2Sb: relaxed, PBE-GGA.

Lattice parameters (Å, degrees): 6.9110 6.9110 5.7944 90.00 90.00 90.00
Closest atoms and distances in Å follow each position.
Space group I-42d (No. 122)
Symmetry-distinct sites (fractional):
Cd 0.0000 0.0000 0.0000 (multiplicity 4)  4 Co 2.67, 2 Sb 2.90
Co 0.2250 0.2500 0.6250 (multiplicity 8)  2 Sb 2.43, 2 Cd 2.67
Sb 0.0000 0.0000 0.5000 (multiplicity 4)  4 Co 2.43

energy above the lowest structure with this stoichiometry	345	meV per atom



CdCo2Sb: relaxed, PBE-GGA.

Lattice parameters (Å, degrees): 4.0183 3.4606 9.5180 90.00 90.00 90.00
Closest atoms and distances in Å follow each position.
Space group Amm2 (No. 38)
Symmetry-distinct sites (fractional):
Cd 0.0000 0.0000 0.0000 (multiplicity 2)  7 Co 2.68-2.76
Co 0.0000 0.0000 0.7181 (multiplicity 2)  2 Co 2.40
Co 0.5000 0.0000 0.5811 (multiplicity 2)  2 Co 2.40, 2 Sb 2.67
Sb 0.5000 0.0000 0.2941 (multiplicity 2)  7 Co 2.67-2.75

energy above the lowest structure with this stoichiometry	22	meV per atom



CdCoSb2: relaxed, PBE-GGA.

Lattice parameters (Å, degrees): 3.1610 3.1610 8.9832 90.00 90.00 90.00
Closest atoms and distances in Å follow each position.
Space group P4/mmm (No. 123)
Symmetry-distinct sites (fractional):
Cd 0.0000 0.0000 0.0000 (multiplicity 1)  4 Cd 3.16
Co 0.0000 0.0000 0.5000 (multiplicity 1)  8 Sb 2.73
Sb 0.5000 0.5000 0.3248 (multiplicity 2)  4 Co 2.73



CdCoSb2: relaxed, PBE-GGA.

Lattice parameters (Å, degrees): 9.7986 3.2005 6.2453 90.00 111.63 90.00
Closest atoms and distances in Å follow each position.
Space group Cm (No. 8)
Symmetry-distinct sites (fractional):
Cd 0.0000 0.0000 0.0000 (multiplicity 2)  3 Co 2.65-2.76
Co 0.2275 0.5000 0.9913 (multiplicity 2)  4 Sb 2.55-2.56, 3 Cd 2.65-2.76
Sb 0.1649 0.0000 0.6512 (multiplicity 2)  2 Co 2.55
Sb 0.3453 0.0000 0.3293 (multiplicity 2)  2 Co 2.56



CdCo2Sb: relaxed, PBE-GGA.

Lattice parameters (Å, degrees): 8.0193 3.0765 5.4997 90.00 101.97 90.00
Closest atoms and distances in Å follow each position.
Space group C2/m (No. 12)
Symmetry-distinct sites (fractional):
Cd 0.0000 0.0000 0.0000 (multiplicity 2)  6 Co 2.79, 2 Cd 3.08
Co 0.2449 0.0000 0.7061 (multiplicity 4)  3 Sb 2.54-2.57, 2 Co 2.76, 3 Cd 2.79
Sb 0.0000 0.5000 0.5000 (multiplicity 2)  6 Co 2.54-2.57

energy above the lowest structure with this stoichiometry	134	meV per atom



Cd2CoSb2: relaxed, PBE-GGA.

Lattice parameters (Å, degrees): 6.5573 6.5573 5.4451 90.00 90.00 90.00
Closest atoms and distances in Å follow each position.
Space group P4/mbm (No. 127)
Symmetry-distinct sites (fractional):
Cd 0.1739 0.3261 0.0000 (multiplicity 4)  6 Sb 3.13-3.49, 5 Cd 3.23-3.43
Co 0.0000 0.0000 0.5000 (multiplicity 2)  4 Sb 2.47
Sb 0.1587 0.6587 0.5000 (multiplicity 4)  2 Co 2.47



CdCoSb2: relaxed, PBE-GGA.

Lattice parameters (Å, degrees): 3.1459 4.0400 13.9814 90.00 90.00 90.00
Closest atoms and distances in Å follow each position.
Space group Imm2 (No. 44)
Symmetry-distinct sites (fractional):
Cd 0.0000 0.0000 0.0000 (multiplicity 2)  6 Sb 3.05-3.22, 2 Cd 3.15, 2 Co 3.40
Co 0.0000 0.5000 0.7153 (multiplicity 2)  6 Sb 2.56-2.66
Sb 0.0000 0.0000 0.3599 (multiplicity 2)  2 Co 2.56
Sb 0.0000 0.5000 0.1631 (multiplicity 2)  4 Co 2.66



CdCo2Sb: relaxed, PBE-GGA.

Lattice parameters (Å, degrees): 4.4157 4.4157 3.1471 90.00 90.00 90.00
Closest atoms and distances in Å follow each position.
Space group P4/mmm (No. 123)
Symmetry-distinct sites (fractional):
Cd 0.0000 0.0000 0.0000 (multiplicity 1)  8 Co 2.71
Co 0.0000 0.5000 0.5000 (multiplicity 2)  4 Sb 2.71, 4 Cd 2.71
Sb 0.5000 0.5000 0.0000 (multiplicity 1)  8 Co 2.71

energy above the lowest structure with this stoichiometry	30	meV per atom



| no. | ΔE_f (raw) (eV/atom) |
| --- | --- |
| 1 | 0.556 |
| 2 | 0.233 |
| 3 | 0.098 |
| 4 | 0.094 |
| 5 | 0.345 |
| 6 | 0.178 |
| 7 | 0.138 |
| 8 | 0.242 |